1.
First-principles (GGA-PBE) data for a relaxed structure of AgSn6, as listed in the Alexandria database.

Cell and atoms, written as POSCAR:
```
AgSn6
1.0
7.0173 0.0000 0.0000
-2.3391 6.6159 0.0000
-2.3391 -3.3080 5.7296
Sn Ag
6 1
direct
0.7500 0.2500 0.5000
0.2500 0.5000 0.7500
0.7500 0.5000 0.2500
0.5000 0.2500 0.7500
0.5000 0.7500 0.2500
0.2500 0.7500 0.5000
0.0000 0.0000 0.0000
```

Calculated values
- formation energy (meV/atom) = 375
- volume (Å³/cell) = 266.0
- crystal system = cubic

---

2.
First-principles (GGA-PBE) data for a relaxed structure of Te2RuS, as listed in the Alexandria database.

Cell and atoms, written as POSCAR:
```
Te2RuS
1.0
6.3870 0.0000 0.0000
0.0000 6.3870 0.0000
3.1935 3.1935 5.7195
Te S Ru
4 2 2
direct
0.8750 0.9191 0.7500
0.0809 0.6250 0.2500
0.6691 0.1250 0.2500
0.3750 0.3309 0.7500
0.5000 0.5000 0.0000
0.2500 0.7500 0.5000
0.7500 0.2500 0.5000
0.0000 0.0000 0.0000
```

Calculated values
- ΔE_f (raw) (eV/f.u.) = 1.23
- volume (Å³/cell) = 233.3
- crystal system = tetragonal

---

3.
First-principles (GGA-PBE) data for a relaxed structure of NaBeB2Pt, as listed in the Alexandria database.

Cell and atoms, written as POSCAR:
```
NaBeB2Pt
1.0
4.1489 0.0000 0.0000
0.0000 4.1489 0.0000
0.0000 0.0000 4.3824
B Na Pt Be
2 1 1 1
direct
0.0000 0.5000 0.0000
0.5000 0.0000 0.0000
0.5000 0.5000 0.5000
0.0000 0.0000 0.0000
0.0000 0.0000 0.5000
```

Calculated values
- formation energy (meV/atom) = 545
- volume (Å³/cell) = 75.4
- crystal system = tetragonal